# TiSb2Ir

A relaxed structure of TiSb2Ir (GGA-PBE, Alexandria via LeMat-Bulk).

The structure in POSCAR format:
```
TiSb2Ir
1.0
-2.511 -1.870 0.265
-1.148 -1.458 -2.536
4.464 -8.504 0.921
Sb Ir Ti
2 1 1
Direct
0.910 0.910 0.269
0.090 0.090 0.731
0.000 0.000 0.000
0.500 0.500 0.500
```

Output
ΔE to the lowest computed polymorph	0.59	eV per formula unit
space-group type	No. 166
ΔE_f (raw)	0.1436	eV per atom